First-principles (PBE-GGA) data for a relaxed structure of CaMg2Al, as listed in the Alexandria database.

Unit cell a=3.366 b=4.907 c=6.169 alpha=90.00 beta=102.95 gamma=90.00
Space group P2/m (No. 10)
Inequivalent atoms, fractional coordinates:
Ca1 0.000 0.000 0.000 [1 per cell]
Mg1 0.348 0.500 0.723 [2 per cell]
Al1 0.500 0.000 0.500 [1 per cell]

- Spin magnetization: 0.00 μB/cell
- ΔE_f: -0.02 eV/atom